[1]
## TlGaHg2 (PBE-GGA)

Data for crystalline TlGaHg2 at its relaxed geometry.

Unit cell a=3.8678 b=3.8678 c=8.6678 alpha=77.11 beta=77.11 gamma=60.00
Last column: nearest neighbours and their distance in Å.
Atoms (fractional coordinates):
Hg 0.0725 0.0725 0.7824  3 Ga 2.86
Hg 0.2609 0.2609 0.2174  3 Ga 2.90
Tl 0.4988 0.4988 0.5037  6 Hg 3.23-3.28
Ga 0.6679 0.6679 0.9964  6 Hg 2.86-2.90

Energy of formation (eV/atom): 0.050

---

[2]
## AcHo2Be (PBE-GGA)

Data for crystalline AcHo2Be at its relaxed geometry.

Unit cell a=3.5339 b=3.5339 c=9.0147 alpha=90.00 beta=90.00 gamma=90.00
Last column: nearest neighbours and their distance in Å.
Atoms (fractional coordinates):
Ac 0.5000 0.5000 0.5000  4 Ac 3.53, 8 Ho 3.83
Ho 0.0000 0.0000 0.8215  4 Be 2.97, 1 Ho 3.22
Ho 0.0000 0.0000 0.1785  4 Be 2.97, 1 Ho 3.22
Be 0.5000 0.5000 0.0000  8 Ho 2.97

Energy relative to the lowest polymorph listed for this composition (meV per atom): 0
Energy of formation (eV/atom): 0.116

---

[3]
## AcVSb3 (PBE-GGA)

Data for crystalline AcVSb3 at its relaxed geometry.

Unit cell a=5.2394 b=5.2394 c=5.2394 alpha=90.00 beta=90.00 gamma=90.00
Last column: nearest neighbours and their distance in Å.
Atoms (fractional coordinates):
Sb 0.0000 0.0000 0.5000  2 V 2.62
Sb 0.0000 0.5000 0.0000  2 V 2.62
Sb 0.5000 0.0000 0.0000  2 V 2.62
V 0.0000 0.0000 0.0000  6 Sb 2.62
Ac 0.5000 0.5000 0.5000  12 Sb 3.70

Energy relative to the lowest polymorph listed for this composition (meV per atom): 304

---

[4]
## CoReBr2 (PBE-GGA)

Data for crystalline CoReBr2 at its relaxed geometry.

Unit cell a=3.2669 b=3.1155 c=8.3467 alpha=78.42 beta=90.00 gamma=90.00
Last column: nearest neighbours and their distance in Å.
Atoms (fractional coordinates):
Br 0.0000 0.8422 0.9187  2 Re 2.54
Co 0.0000 0.5461 0.5392  4 Re 2.54, 4 Br 2.68
Re 0.5000 0.9702 0.6806  4 Co 2.54, 3 Br 2.54-2.61
Br 0.5000 0.1415 0.3615  1 Re 2.61, 4 Co 2.68

Energy relative to the lowest polymorph listed for this composition (meV per atom): 47